8
Lattice="3.5603 0.0000 0.0000 0.0000 6.1528 0.1089 0.0000 -2.1497 5.8207" Properties=species:S:1:pos:R:3 comment="Sr2CaSmO4 (PBE-GGA, relaxed)" crystal_system=monoclinic m_tot_mub_per_fu=0.0 formation_energy_uncorrected_ev_per_atom=-2.7628 density_g_cm3=5.56 pbc="T T T"
Sr 1.7802 -1.0748 2.9103
Sr 0.0000 2.0015 2.9648
Ca 0.0000 0.0000 0.0000
Sm 1.7802 3.0764 0.0544
O 1.7802 1.0243 1.3622
O 1.7802 2.9788 4.5673
O 0.0000 -0.0691 4.5164
O 0.0000 4.0722 1.4132